No. 1
# Ba2BiAu (PBE-GGA, optimized geometry)
data_Ba2BiAu
_cell_length_a 10.191
_cell_length_b 10.191
_cell_length_c 10.191
_cell_angle_alpha 139.36
_cell_angle_beta 139.36
_cell_angle_gamma 58.83
_space_group_name_H-M_alt 'P 1'
_space_group_IT_number 1
loop_
_space_group_symop_operation_xyz
'x,y,z'
loop_
_atom_site_label
_atom_site_type_symbol
_atom_site_fract_x
_atom_site_fract_y
_atom_site_fract_z
Ba1 Ba 0.115 0.625 0.990
Ba2 Ba 0.375 0.365 0.490
Ba3 Ba 0.635 0.125 0.010
Ba4 Ba 0.875 0.885 0.510
Bi1 Bi 0.250 0.750 0.500
Bi2 Bi 0.500 0.500 0.000
Au1 Au 0.000 0.000 0.000
Au2 Au 0.750 0.250 0.500
# Crystal system: tetragonal
# Formation enthalpy at 0 K (eV/f.u.): -1.93
# Calculated total energy (Ry per atom): -0.2376
# Symmetry: I-42d

---

No. 2
# BaBi2Au9 (PBE-GGA, optimized geometry)
data_BaBi2Au9
_cell_length_a 9.965
_cell_length_b 9.965
_cell_length_c 9.965
_cell_angle_alpha 33.63
_cell_angle_beta 33.63
_cell_angle_gamma 33.63
_space_group_name_H-M_alt 'P 1'
_space_group_IT_number 1
loop_
_space_group_symop_operation_xyz
'x,y,z'
loop_
_atom_site_label
_atom_site_type_symbol
_atom_site_fract_x
_atom_site_fract_y
_atom_site_fract_z
Ba1 Ba 0.000 0.000 0.000
Bi1 Bi 0.150 0.150 0.150
Bi2 Bi 0.850 0.850 0.850
Au1 Au 0.081 0.585 0.585
Au2 Au 0.333 0.333 0.333
Au3 Au 0.415 0.415 0.919
Au4 Au 0.415 0.919 0.415
Au5 Au 0.500 0.500 0.500
Au6 Au 0.585 0.081 0.585
Au7 Au 0.585 0.585 0.081
Au8 Au 0.667 0.667 0.667
Au9 Au 0.919 0.415 0.415
# Crystal system: trigonal
# Formation enthalpy at 0 K (eV/f.u.): -2.90
# Calculated total energy (Ry per atom): -0.2578
# Symmetry: R-3m

---

No. 3
# BaBi3Au (PBE-GGA, optimized geometry)
data_BaBi3Au
_cell_length_a 5.685
_cell_length_b 5.685
_cell_length_c 5.685
_cell_angle_alpha 90.00
_cell_angle_beta 90.00
_cell_angle_gamma 90.00
_space_group_name_H-M_alt 'P 1'
_space_group_IT_number 1
loop_
_space_group_symop_operation_xyz
'x,y,z'
loop_
_atom_site_label
_atom_site_type_symbol
_atom_site_fract_x
_atom_site_fract_y
_atom_site_fract_z
Ba1 Ba 0.000 0.000 0.000
Bi1 Bi 0.000 0.500 0.500
Bi2 Bi 0.500 0.000 0.500
Bi3 Bi 0.500 0.500 0.000
Au1 Au 0.500 0.500 0.500
# Relative energy among the computed polymorphs (eV/atom): 0.223
# Crystal system: cubic
# Formation enthalpy at 0 K (eV/f.u.): -0.91
# Calculated total energy (Ry per atom): -0.2610
# Symmetry: Pm-3m

---

No. 4
# BaBi3Au8 (PBE-GGA, optimized geometry)
data_BaBi3Au8
_cell_length_a 5.778
_cell_length_b 5.778
_cell_length_c 9.610
_cell_angle_alpha 90.00
_cell_angle_beta 90.00
_cell_angle_gamma 120.00
_space_group_name_H-M_alt 'P 1'
_space_group_IT_number 1
loop_
_space_group_symop_operation_xyz
'x,y,z'
loop_
_atom_site_label
_atom_site_type_symbol
_atom_site_fract_x
_atom_site_fract_y
_atom_site_fract_z
Ba1 Ba 0.000 0.000 0.000
Bi1 Bi 0.000 0.000 0.402
Bi2 Bi 0.667 0.333 0.472
Bi3 Bi 0.667 0.333 0.834
Au1 Au 0.166 0.331 0.682
Au2 Au 0.166 0.834 0.682
Au3 Au 0.333 0.667 0.433
Au4 Au 0.333 0.667 0.936
Au5 Au 0.502 0.004 0.187
Au6 Au 0.502 0.498 0.187
Au7 Au 0.669 0.834 0.682
Au8 Au 0.996 0.498 0.187
# Crystal system: trigonal
# Formation enthalpy at 0 K (eV/f.u.): -2.39
# Calculated total energy (Ry per atom): -0.2583
# Symmetry: P3m1

---

No. 5
# Ba12Bi3Au5 (PBE-GGA, optimized geometry)
data_Ba12Bi3Au5
_cell_length_a 17.263
_cell_length_b 17.263
_cell_length_c 17.263
_cell_angle_alpha 109.47
_cell_angle_beta 109.47
_cell_angle_gamma 109.47
_space_group_name_H-M_alt 'P 1'
_space_group_IT_number 1
loop_
_space_group_symop_operation_xyz
'x,y,z'
loop_
_atom_site_label
_atom_site_type_symbol
_atom_site_fract_x
_atom_site_fract_y
_atom_site_fract_z
Ba1 Ba 0.043 0.217 0.124
Ba2 Ba 0.043 0.326 0.918
Ba3 Ba 0.082 0.624 0.407
Ba4 Ba 0.082 0.957 0.674
Ba5 Ba 0.093 0.717 0.674
Ba6 Ba 0.093 0.876 0.418
Ba7 Ba 0.124 0.043 0.217
Ba8 Ba 0.124 0.582 0.907
Ba9 Ba 0.174 0.217 0.593
Ba10 Ba 0.174 0.457 0.582
Ba11 Ba 0.217 0.124 0.043
Ba12 Ba 0.217 0.593 0.174
Ba13 Ba 0.283 0.326 0.907
Ba14 Ba 0.283 0.457 0.376
Ba15 Ba 0.326 0.907 0.283
Ba16 Ba 0.326 0.918 0.043
Ba17 Ba 0.376 0.283 0.457
Ba18 Ba 0.376 0.593 0.918
Ba19 Ba 0.407 0.082 0.624
Ba20 Ba 0.407 0.826 0.783
Ba21 Ba 0.418 0.093 0.876
Ba22 Ba 0.418 0.826 0.543
Ba23 Ba 0.457 0.376 0.283
Ba24 Ba 0.457 0.582 0.174
Ba25 Ba 0.543 0.418 0.826
Ba26 Ba 0.543 0.624 0.717
Ba27 Ba 0.582 0.174 0.457
Ba28 Ba 0.582 0.907 0.124
Ba29 Ba 0.593 0.174 0.217
Ba30 Ba 0.593 0.918 0.376
Ba31 Ba 0.624 0.407 0.082
Ba32 Ba 0.624 0.717 0.543
Ba33 Ba 0.674 0.082 0.957
Ba34 Ba 0.674 0.093 0.717
Ba35 Ba 0.717 0.543 0.624
Ba36 Ba 0.717 0.674 0.093
Ba37 Ba 0.783 0.407 0.826
Ba38 Ba 0.783 0.876 0.957
Ba39 Ba 0.826 0.543 0.418
Ba40 Ba 0.826 0.783 0.407
Ba41 Ba 0.876 0.418 0.093
Ba42 Ba 0.876 0.957 0.783
Ba43 Ba 0.907 0.124 0.582
Ba44 Ba 0.907 0.283 0.326
Ba45 Ba 0.918 0.043 0.326
Ba46 Ba 0.918 0.376 0.593
Ba47 Ba 0.957 0.674 0.082
Ba48 Ba 0.957 0.783 0.876
Bi1 Bi 0.125 0.250 0.375
Bi2 Bi 0.125 0.375 0.750
Bi3 Bi 0.250 0.375 0.125
Bi4 Bi 0.250 0.875 0.625
Bi5 Bi 0.375 0.125 0.250
Bi6 Bi 0.375 0.750 0.125
Bi7 Bi 0.625 0.250 0.875
Bi8 Bi 0.625 0.875 0.750
Bi9 Bi 0.750 0.125 0.375
Bi10 Bi 0.750 0.625 0.875
Bi11 Bi 0.875 0.625 0.250
Bi12 Bi 0.875 0.750 0.625
Au1 Au 0.000 0.000 0.000
Au2 Au 0.000 0.000 0.500
Au3 Au 0.000 0.500 0.000
Au4 Au 0.000 0.500 0.500
Au5 Au 0.125 0.750 0.875
Au6 Au 0.125 0.875 0.250
Au7 Au 0.250 0.125 0.875
Au8 Au 0.250 0.625 0.375
Au9 Au 0.375 0.250 0.625
Au10 Au 0.375 0.625 0.750
Au11 Au 0.500 0.000 0.000
Au12 Au 0.500 0.000 0.500
Au13 Au 0.500 0.500 0.000
Au14 Au 0.500 0.500 0.500
Au15 Au 0.625 0.375 0.250
Au16 Au 0.625 0.750 0.375
Au17 Au 0.750 0.375 0.625
Au18 Au 0.750 0.875 0.125
Au19 Au 0.875 0.125 0.750
Au20 Au 0.875 0.250 0.125
# Crystal system: cubic
# Formation enthalpy at 0 K (eV/f.u.): -10.94
# Calculated total energy (Ry per atom): -0.2280
# Symmetry: Ia-3d

---

No. 6
# Ba6BiAu5 (PBE-GGA, optimized geometry)
data_Ba6BiAu5
_cell_length_a 10.060
_cell_length_b 10.060
_cell_length_c 10.060
_cell_angle_alpha 146.61
_cell_angle_beta 131.94
_cell_angle_gamma 59.78
_space_group_name_H-M_alt 'P 1'
_space_group_IT_number 1
loop_
_space_group_symop_operation_xyz
'x,y,z'
loop_
_atom_site_label
_atom_site_type_symbol
_atom_site_fract_x
_atom_site_fract_y
_atom_site_fract_z
Ba1 Ba 0.077 0.330 0.747
Ba2 Ba 0.241 0.000 0.241
Ba3 Ba 0.417 0.670 0.747
Ba4 Ba 0.583 0.330 0.253
Ba5 Ba 0.759 0.000 0.759
Ba6 Ba 0.923 0.670 0.253
Bi1 Bi 0.500 0.500 0.000
Au1 Au 0.000 0.500 0.500
Au2 Au 0.168 0.168 0.000
Au3 Au 0.334 0.834 0.500
Au4 Au 0.666 0.166 0.500
Au5 Au 0.832 0.832 0.000
# Crystal system: orthorhombic
# Formation enthalpy at 0 K (eV/f.u.): -8.67
# Calculated total energy (Ry per atom): -0.2479
# Symmetry: Immm

---

No. 7
# BaBi2Au (PBE-GGA, optimized geometry)
data_BaBi2Au
_cell_length_a 10.815
_cell_length_b 10.815
_cell_length_c 10.815
_cell_angle_alpha 150.31
_cell_angle_beta 150.31
_cell_angle_gamma 42.48
_space_group_name_H-M_alt 'P 1'
_space_group_IT_number 1
loop_
_space_group_symop_operation_xyz
'x,y,z'
loop_
_atom_site_label
_atom_site_type_symbol
_atom_site_fract_x
_atom_site_fract_y
_atom_site_fract_z
Ba1 Ba 0.000 0.000 0.000
Ba2 Ba 0.750 0.250 0.500
Bi1 Bi 0.246 0.625 0.121
Bi2 Bi 0.375 0.496 0.621
Bi3 Bi 0.504 0.125 0.879
Bi4 Bi 0.875 0.754 0.379
Au1 Au 0.250 0.750 0.500
Au2 Au 0.500 0.500 0.000
# Crystal system: tetragonal
# Formation enthalpy at 0 K (eV/f.u.): -1.45
# Calculated total energy (Ry per atom): -0.2648
# Symmetry: I-42d

---

No. 8
# Ba4BiAu3 (PBE-GGA, optimized geometry)
data_Ba4BiAu3
_cell_length_a 9.264
_cell_length_b 9.264
_cell_length_c 9.264
_cell_angle_alpha 143.34
_cell_angle_beta 143.34
_cell_angle_gamma 52.81
_space_group_name_H-M_alt 'P 1'
_space_group_IT_number 1
loop_
_space_group_symop_operation_xyz
'x,y,z'
loop_
_atom_site_label
_atom_site_type_symbol
_atom_site_fract_x
_atom_site_fract_y
_atom_site_fract_z
Ba1 Ba 0.128 0.628 0.500
Ba2 Ba 0.372 0.872 0.500
Ba3 Ba 0.628 0.128 0.500
Ba4 Ba 0.872 0.372 0.500
Bi1 Bi 0.000 0.000 0.000
Au1 Au 0.254 0.254 0.000
Au2 Au 0.500 0.500 0.000
Au3 Au 0.746 0.746 0.000
# Crystal system: tetragonal
# Formation enthalpy at 0 K (eV/f.u.): -5.94
# Calculated total energy (Ry per atom): -0.2513
# Symmetry: I4/mmm

---

No. 9
# Ba3BiAu (PBE-GGA, optimized geometry)
data_Ba3BiAu
_cell_length_a 6.218
_cell_length_b 6.218
_cell_length_c 6.218
_cell_angle_alpha 90.00
_cell_angle_beta 90.00
_cell_angle_gamma 90.00
_space_group_name_H-M_alt 'P 1'
_space_group_IT_number 1
loop_
_space_group_symop_operation_xyz
'x,y,z'
loop_
_atom_site_label
_atom_site_type_symbol
_atom_site_fract_x
_atom_site_fract_y
_atom_site_fract_z
Ba1 Ba 0.000 0.000 0.500
Ba2 Ba 0.000 0.500 0.000
Ba3 Ba 0.500 0.000 0.000
Bi1 Bi 0.500 0.500 0.500
Au1 Au 0.000 0.000 0.000
# Relative energy among the computed polymorphs (eV/atom): 0.078
# Crystal system: cubic
# Formation enthalpy at 0 K (eV/f.u.): -2.49
# Calculated total energy (Ry per atom): -0.2266
# Symmetry: Pm-3m

---

No. 10
# Ba2BiAu2 (PBE-GGA, optimized geometry)
data_Ba2BiAu2
_cell_length_a 6.331
_cell_length_b 6.331
_cell_length_c 6.331
_cell_angle_alpha 133.21
_cell_angle_beta 112.47
_cell_angle_gamma 86.17
_space_group_name_H-M_alt 'P 1'
_space_group_IT_number 1
loop_
_space_group_symop_operation_xyz
'x,y,z'
loop_
_atom_site_label
_atom_site_type_symbol
_atom_site_fract_x
_atom_site_fract_y
_atom_site_fract_z
Ba1 Ba 0.210 0.210 0.000
Ba2 Ba 0.790 0.790 0.000
Bi1 Bi 0.500 0.000 0.500
Au1 Au 0.203 0.500 0.703
Au2 Au 0.797 0.500 0.297
# Relative energy among the computed polymorphs (eV/atom): 0.000
# Crystal system: orthorhombic
# Formation enthalpy at 0 K (eV/f.u.): -3.80
# Calculated total energy (Ry per atom): -0.2658
# Symmetry: Immm